Nd2SmIr after structural relaxation, computed with PBE.

Summary:
**Energy**: -6.198 eV per atom
**Crystal system**: orthorhombic
**Theoretical density**: 8.9 g/cm³
**ΔE_f**: -0.4193 eV per atom

Cell: 3.9556 12.1762 9.7860 Å, 90.00 90.00 90.00°
Space group Cmcm (No. 63)
Symmetry-distinct sites (fractional):
Nd1 0.0000 0.1401 0.0674 (multiplicity 8)
Sm1 0.0000 0.4180 0.2500 (multiplicity 4)
Ir1 0.0000 0.2584 0.7500 (multiplicity 4)

Nd4SmIr2 after structural relaxation, computed with PBE.

Summary:
**Energy**: -6.315 eV per atom
**Crystal system**: monoclinic
**Theoretical density**: 9.3 g/cm³
**ΔE_f**: -0.3842 eV per atom

Cell: 8.0117 6.6171 8.1482 Å, 90.00 113.32 90.00°
Space group P2_1/m (No. 11)
Symmetry-distinct sites (fractional):
Nd1 0.0126 0.2500 0.3781 (multiplicity 2)
Nd2 0.2494 0.7500 0.3388 (multiplicity 2)
Nd3 0.4147 0.0049 0.7641 (multiplicity 4)
Sm1 0.1507 0.2500 0.0296 (multiplicity 2)
Ir1 0.2472 0.7500 0.9904 (multiplicity 2)
Ir2 0.3693 0.2500 0.4025 (multiplicity 2)